[1]
The following is a DFT calculation (GGA-PBE) of crystalline TmGeOs at its relaxed geometry.

a b c (Å): 4.5522 4.5522 4.5522
angles (deg): 60.00 60.00 60.00
Closest atoms and distances in Å follow each position.
Sites, in units of the cell vectors:
1 Ge 0.2500 0.2500 0.2500  4 Tm 2.79
2 Tm 0.0000 0.0000 0.0000  4 Ge 2.79, 4 Os 2.79
3 Os 0.7500 0.7500 0.7500  4 Tm 2.79

DFT total energy: -6.093 eV per atom
Total magnetization: 0.004 μB per cell
Symmetry: No. 216

[2]
The following is a DFT calculation (GGA-PBE) of crystalline Tm5Ge10Os4 at its relaxed geometry.

a b c (Å): 13.0352 13.0352 4.2691
angles (deg): 90.00 90.00 90.00
Closest atoms and distances in Å follow each position.
Sites, in units of the cell vectors:
1 Ge 0.1646 0.8015 0.0000  2 Os 2.47-2.59, 1 Ge 2.52
2 Ge 0.3434 0.4922 0.5000  2 Os 2.45
3 Ge 0.1566 0.9922 0.5000  2 Os 2.45
4 Ge 0.6646 0.6985 0.0000  2 Os 2.47-2.59, 1 Ge 2.52
5 Ge 0.9326 0.5674 0.0000  1 Ge 2.49, 2 Os 2.49
6 Ge 0.4326 0.9326 0.0000  1 Ge 2.49, 2 Os 2.49
7 Ge 0.6985 0.3354 0.0000  2 Os 2.47-2.59, 1 Ge 2.52
8 Ge 0.6566 0.5078 0.5000  2 Os 2.45
9 Ge 0.3015 0.6646 0.0000  2 Os 2.47-2.59, 1 Ge 2.52
10 Ge 0.8354 0.1985 0.0000  2 Os 2.47-2.59, 1 Ge 2.52
11 Ge 0.4922 0.6566 0.5000  2 Os 2.45
12 Ge 0.0674 0.4326 0.0000  1 Ge 2.49, 2 Os 2.49
13 Ge 0.9922 0.8434 0.5000  2 Os 2.45
14 Ge 0.0078 0.1566 0.5000  2 Os 2.45
15 Ge 0.5674 0.0674 0.0000  1 Ge 2.49, 2 Os 2.49
16 Ge 0.5078 0.3434 0.5000  2 Os 2.45
17 Ge 0.8015 0.8354 0.0000  2 Os 2.47-2.59, 1 Ge 2.52
18 Ge 0.1985 0.1646 0.0000  2 Os 2.47-2.59, 1 Ge 2.52
19 Ge 0.3354 0.3015 0.0000  2 Os 2.47-2.59, 1 Ge 2.52
20 Ge 0.8434 0.0078 0.5000  2 Os 2.45
21 Tm 0.3280 0.8280 0.5000  8 Ge 2.88-3.09, 4 Os 3.11
22 Tm 0.8280 0.6720 0.5000  8 Ge 2.88-3.09, 4 Os 3.11
23 Tm 0.6720 0.1720 0.5000  8 Ge 2.88-3.09, 4 Os 3.11
24 Tm 0.1720 0.3280 0.5000  8 Ge 2.88-3.09, 4 Os 3.11
25 Tm 0.0000 0.0000 0.0000  8 Ge 2.96, 4 Os 3.24
26 Tm 0.8824 0.3824 0.5000  10 Ge 3.27-3.37, 4 Os 3.28
27 Tm 0.6176 0.8824 0.5000  10 Ge 3.27-3.37, 4 Os 3.28
28 Tm 0.3824 0.1176 0.5000  10 Ge 3.27-3.37, 4 Os 3.28
29 Tm 0.5000 0.5000 0.0000  8 Ge 2.96, 4 Os 3.24
30 Tm 0.1176 0.6176 0.5000  10 Ge 3.27-3.37, 4 Os 3.28
31 Os 0.2521 0.4818 0.0000  5 Ge 2.45-2.59
32 Os 0.7479 0.5182 0.0000  5 Ge 2.45-2.59
33 Os 0.7521 0.0182 0.0000  5 Ge 2.45-2.59
34 Os 0.2479 0.9818 0.0000  5 Ge 2.45-2.59
35 Os 0.0182 0.2479 0.0000  5 Ge 2.45-2.59
36 Os 0.4818 0.7479 0.0000  5 Ge 2.45-2.59
37 Os 0.5182 0.2521 0.0000  5 Ge 2.45-2.59
38 Os 0.9818 0.7521 0.0000  5 Ge 2.45-2.59

DFT total energy: -6.504 eV per atom
Total magnetization: 0.010 μB per cell
Symmetry: No. 127

[3]
The following is a DFT calculation (GGA-PBE) of crystalline Tm3Ge3Os2 at its relaxed geometry.

a b c (Å): 5.7561 5.7561 13.7453
angles (deg): 90.00 90.00 136.55
Closest atoms and distances in Å follow each position.
Sites, in units of the cell vectors:
1 Ge 0.3861 0.6139 0.5404  3 Os 2.45-2.53, 1 Ge 2.68
2 Ge 0.6139 0.3861 0.0404  3 Os 2.45-2.53, 1 Ge 2.68
3 Ge 0.6139 0.3861 0.4596  3 Os 2.45-2.53, 1 Ge 2.68
4 Ge 0.3861 0.6139 0.9596  3 Os 2.45-2.53, 1 Ge 2.68
5 Ge 0.6621 0.3379 0.7500  2 Os 2.64, 2 Tm 2.94
6 Ge 0.3379 0.6621 0.2500  2 Os 2.64, 2 Tm 2.94
7 Tm 0.0765 0.9235 0.6138  6 Ge 2.98-3.12, 4 Os 3.09-3.13
8 Tm 0.6486 0.3514 0.2500  4 Ge 2.91-2.94, 4 Os 3.19
9 Tm 0.9235 0.0765 0.1138  6 Ge 2.98-3.12, 4 Os 3.09-3.13
10 Tm 0.9235 0.0765 0.3862  6 Ge 2.98-3.12, 4 Os 3.09-3.13
11 Tm 0.3514 0.6486 0.7500  4 Ge 2.91-2.94, 4 Os 3.19
12 Tm 0.0765 0.9235 0.8862  6 Ge 2.98-3.12, 4 Os 3.09-3.13
13 Os 0.7875 0.2125 0.5843  4 Ge 2.45-2.64
14 Os 0.2125 0.7875 0.4157  4 Ge 2.45-2.64
15 Os 0.7875 0.2125 0.9157  4 Ge 2.45-2.64
16 Os 0.2125 0.7875 0.0843  4 Ge 2.45-2.64

DFT total energy: -6.872 eV per atom
Total magnetization: 0.004 μB per cell
Symmetry: No. 63

[4]
The following is a DFT calculation (GGA-PBE) of crystalline Tm4Ge6Os7 at its relaxed geometry.

a b c (Å): 7.2026 7.2026 7.2026
angles (deg): 109.47 109.47 109.47
Closest atoms and distances in Å follow each position.
Sites, in units of the cell vectors:
1 Tm 0.5000 0.0000 0.0000  6 Os 2.94, 6 Ge 2.98
2 Tm 0.0000 0.5000 0.0000  6 Os 2.94, 6 Ge 2.98
3 Tm 0.5000 0.5000 0.5000  6 Os 2.94, 6 Ge 2.98
4 Tm 0.0000 0.0000 0.5000  6 Os 2.94, 6 Ge 2.98
5 Ge 0.0000 0.6902 0.6902  5 Os 2.58-2.61
6 Ge 0.3098 0.0000 0.3098  5 Os 2.58-2.61
7 Ge 0.0000 0.3098 0.3098  5 Os 2.58-2.61
8 Ge 0.6902 0.0000 0.6902  5 Os 2.58-2.61
9 Ge 0.6902 0.6902 0.0000  5 Os 2.58-2.61
10 Ge 0.3098 0.3098 0.0000  5 Os 2.58-2.61
11 Os 0.2500 0.7500 0.5000  4 Ge 2.61
12 Os 0.5000 0.2500 0.7500  4 Ge 2.61
13 Os 0.2500 0.5000 0.7500  4 Ge 2.61
14 Os 0.5000 0.7500 0.2500  4 Ge 2.61
15 Os 0.7500 0.5000 0.2500  4 Ge 2.61
16 Os 0.0000 0.0000 0.0000  6 Ge 2.58
17 Os 0.7500 0.2500 0.5000  4 Ge 2.61

DFT total energy: -7.742 eV per atom
Total magnetization: 0.002 μB per cell
Symmetry: No. 229

[5]
The following is a DFT calculation (GGA-PBE) of crystalline Tm3Ge13Os4 at its relaxed geometry.

a b c (Å): 9.0313 9.0313 9.0313
angles (deg): 90.00 90.00 90.00
Closest atoms and distances in Å follow each position.
Sites, in units of the cell vectors:
1 Ge 0.5000 0.7988 0.3559  2 Os 2.49, 1 Ge 2.60
2 Ge 0.7988 0.6441 0.5000  2 Os 2.49, 1 Ge 2.60
3 Ge 0.6441 0.5000 0.2012  2 Os 2.49, 1 Ge 2.60
4 Ge 0.6441 0.5000 0.7988  2 Os 2.49, 1 Ge 2.60
5 Ge 0.2012 0.6441 0.5000  2 Os 2.49, 1 Ge 2.60
6 Ge 0.3559 0.5000 0.7988  2 Os 2.49, 1 Ge 2.60
7 Ge 0.2988 0.0000 0.8559  2 Os 2.49, 1 Ge 2.60
8 Ge 0.7988 0.3559 0.5000  2 Os 2.49, 1 Ge 2.60
9 Ge 0.2988 0.0000 0.1441  2 Os 2.49, 1 Ge 2.60
10 Ge 0.7012 0.0000 0.8559  2 Os 2.49, 1 Ge 2.60
11 Ge 0.0000 0.8559 0.7012  2 Os 2.49, 1 Ge 2.60
12 Ge 0.0000 0.1441 0.7012  2 Os 2.49, 1 Ge 2.60
13 Ge 0.8559 0.2988 0.0000  2 Os 2.49, 1 Ge 2.60
14 Ge 0.7012 0.0000 0.1441  2 Os 2.49, 1 Ge 2.60
15 Ge 0.0000 0.8559 0.2988  2 Os 2.49, 1 Ge 2.60
16 Ge 0.0000 0.0000 0.0000  12 Ge 3.00
17 Ge 0.1441 0.2988 0.0000  2 Os 2.49, 1 Ge 2.60
18 Ge 0.5000 0.2012 0.3559  2 Os 2.49, 1 Ge 2.60
19 Ge 0.5000 0.5000 0.5000  12 Ge 3.00
20 Ge 0.0000 0.1441 0.2988  2 Os 2.49, 1 Ge 2.60
21 Ge 0.5000 0.7988 0.6441  2 Os 2.49, 1 Ge 2.60
22 Ge 0.8559 0.7012 0.0000  2 Os 2.49, 1 Ge 2.60
23 Ge 0.5000 0.2012 0.6441  2 Os 2.49, 1 Ge 2.60
24 Ge 0.1441 0.7012 0.0000  2 Os 2.49, 1 Ge 2.60
25 Ge 0.3559 0.5000 0.2012  2 Os 2.49, 1 Ge 2.60
26 Ge 0.2012 0.3559 0.5000  2 Os 2.49, 1 Ge 2.60
27 Os 0.7500 0.2500 0.7500  6 Ge 2.49
28 Os 0.7500 0.7500 0.7500  6 Ge 2.49
29 Os 0.7500 0.2500 0.2500  6 Ge 2.49
30 Os 0.2500 0.7500 0.7500  6 Ge 2.49
31 Os 0.2500 0.7500 0.2500  6 Ge 2.49
32 Os 0.2500 0.2500 0.7500  6 Ge 2.49
33 Os 0.2500 0.2500 0.2500  6 Ge 2.49
34 Os 0.7500 0.7500 0.2500  6 Ge 2.49
35 Tm 0.0000 0.5000 0.2500  12 Ge 3.18-3.24, 4 Os 3.19
36 Tm 0.7500 0.0000 0.5000  12 Ge 3.18-3.24, 4 Os 3.19
37 Tm 0.5000 0.7500 0.0000  12 Ge 3.18-3.24, 4 Os 3.19
38 Tm 0.5000 0.2500 0.0000  12 Ge 3.18-3.24, 4 Os 3.19
39 Tm 0.2500 0.0000 0.5000  12 Ge 3.18-3.24, 4 Os 3.19
40 Tm 0.0000 0.5000 0.7500  12 Ge 3.18-3.24, 4 Os 3.19

DFT total energy: -6.244 eV per atom
Total magnetization: 0.014 μB per cell
Symmetry: No. 223

[6]
The following is a DFT calculation (GGA-PBE) of crystalline TmGeOs at its relaxed geometry.

a b c (Å): 4.4531 4.4531 4.4531
angles (deg): 60.00 60.00 60.00
Closest atoms and distances in Å follow each position.
Sites, in units of the cell vectors:
1 Ge 0.2500 0.2500 0.2500  4 Os 2.73
2 Os 0.0000 0.0000 0.0000  4 Ge 2.73, 4 Tm 2.73
3 Tm 0.7500 0.7500 0.7500  4 Os 2.73

DFT total energy: -6.880 eV per atom
Total magnetization: 0.008 μB per cell
Symmetry: No. 216

[7]
The following is a DFT calculation (GGA-PBE) of crystalline Tm2Ge5Os3 at its relaxed geometry.

a b c (Å): 8.4648 8.4648 8.4648
angles (deg): 108.74 84.95 140.06
Closest atoms and distances in Å follow each position.
Sites, in units of the cell vectors:
1 Ge 0.2500 0.7500 0.5000  4 Os 2.54
2 Ge 0.7500 0.2500 0.5000  4 Os 2.54
3 Ge 0.5841 0.3227 0.9067  3 Os 2.40-2.50
4 Ge 0.9561 0.7500 0.2061  3 Os 2.49-2.57, 2 Ge 2.73
5 Ge 0.9159 0.8227 0.7386  3 Os 2.40-2.50
6 Ge 0.4561 0.2500 0.2061  3 Os 2.49-2.57, 2 Ge 2.73
7 Ge 0.0841 0.1773 0.2614  3 Os 2.40-2.50
8 Ge 0.5439 0.7500 0.7939  3 Os 2.49-2.57, 2 Ge 2.73
9 Ge 0.4159 0.6773 0.0933  3 Os 2.40-2.50
10 Ge 0.0439 0.2500 0.7939  3 Os 2.49-2.57, 2 Ge 2.73
11 Os 0.1495 0.4056 0.5551  5 Ge 2.40-2.54
12 Os 0.7500 0.7500 0.0000  6 Ge 2.50-2.57
13 Os 0.6495 0.0944 0.7438  5 Ge 2.40-2.54
14 Os 0.3505 0.9056 0.2562  5 Ge 2.40-2.54
15 Os 0.2500 0.2500 0.0000  6 Ge 2.50-2.57
16 Os 0.8505 0.5944 0.4449  5 Ge 2.40-2.54
17 Tm 0.3555 0.2300 0.5856  9 Ge 3.00-3.27, 4 Os 3.10-3.20
18 Tm 0.8555 0.2700 0.1255  9 Ge 3.00-3.27, 4 Os 3.10-3.20
19 Tm 0.6445 0.7700 0.4144  9 Ge 3.00-3.27, 4 Os 3.10-3.20
20 Tm 0.1445 0.7300 0.8745  9 Ge 3.00-3.27, 4 Os 3.10-3.20

DFT total energy: -6.995 eV per atom
Total magnetization: 0.006 μB per cell
Symmetry: No. 72

[8]
The following is a DFT calculation (GGA-PBE) of crystalline GeOs2W at its relaxed geometry.

a b c (Å): 4.3960 4.3960 4.3960
angles (deg): 60.00 60.00 60.00
Closest atoms and distances in Å follow each position.
Sites, in units of the cell vectors:
1 W 0.2500 0.2500 0.2500  4 Ge 2.69, 4 Os 2.69
2 Os 0.7500 0.7500 0.7500  4 Ge 2.69, 4 Os 2.69
3 Os 0.0000 0.0000 0.0000  4 W 2.69, 4 Os 2.69
4 Ge 0.5000 0.5000 0.5000  4 W 2.69, 4 Os 2.69

DFT total energy: -9.518 eV per atom
Total magnetization: 0.034 μB per cell
Symmetry: No. 216